Record 1
VASP calculation (PBE) on crystalline Rb3Tl3HgCl8 at its relaxed geometry.

abc: 15.889 9.262 9.192
angles: 90.00 124.82 90.00
Space group C2/m (No. 12)
Inequivalent atoms, fractional coordinates:
Rb: 0.000 0.000 0.000
Rb: 0.250 0.250 0.500
Tl: 0.000 0.500 0.500
Tl: 0.250 0.250 0.000
Hg: 0.000 0.500 0.000
Cl: 0.002 0.290 0.787
Cl: 0.212 0.500 0.208
Cl: 0.248 0.500 0.751

Output
The value obtained for the density of states at the Fermi level is 0.0 states/eV per cell. Its uncorrected formation energy is -30.263 kcal/mol of atoms. As for the magnetic moment: 0.00 μB/cell.



Record 2
VASP calculation (PBE) on crystalline BaTlNiSn2 at its relaxed geometry.

abc: 5.155 5.155 5.310
angles: 90.00 90.00 90.00
Space group P4/mmm (No. 123)
Inequivalent atoms, fractional coordinates:
Ba: 0.000 0.000 0.000
Tl: 0.500 0.500 0.000
Ni: 0.500 0.500 0.500
Sn: 0.000 0.500 0.500

Output
The value obtained for the density of states at the Fermi level is 4.5 states/eV per cell. As for the magnetic moment: 0.00 μB/cell. For the formation energy, the calculation gives -0.2086 eV/atom.



Record 3
VASP calculation (PBE) on crystalline YTm2Tl4 at its relaxed geometry.

abc: 7.462 7.462 7.376
angles: 90.00 90.00 90.00
Space group I4/mmm (No. 139)
Inequivalent atoms, fractional coordinates:
Y: 0.000 0.000 0.000
Tm: 0.000 0.500 0.000
Tl: 0.250 0.250 0.250

Output
The value obtained for the density of states at the Fermi level is 10.9 states/eV per cell. As for the magnetic moment: 0.00 μB/cell. For the formation energy, the calculation gives -0.2163 eV/atom. The relative energy among the computed polymorphs is 0.0 meV per atom.



Record 4
VASP calculation (PBE) on crystalline KRb2GePt at its relaxed geometry.

abc: 6.739 6.739 4.773
angles: 90.00 90.00 90.00
Space group P4/mmm (No. 123)
Inequivalent atoms, fractional coordinates:
K: 0.000 0.000 0.000
Rb: 0.000 0.500 0.500
Ge: 0.500 0.500 0.000
Pt: 0.500 0.500 0.500

Output
The value obtained for the density of states at the Fermi level is 3.0 states/eV per cell. As for the magnetic moment: 0.29 μB/cell. For the formation energy, the calculation gives -0.0838 eV/atom.



Record 5
VASP calculation (PBE) on crystalline Ce2ErU2Ru5 at its relaxed geometry.

abc: 10.521 10.521 3.652
angles: 90.00 90.00 90.00
Space group P4/mbm (No. 127)
Inequivalent atoms, fractional coordinates:
Ce: 0.178 0.322 0.000
Er: 0.000 0.000 0.000
U: 0.140 0.640 0.000
Ru: 0.000 0.500 0.500
Ru: 0.055 0.792 0.500

Output
The value obtained for the density of states at the Fermi level is 31.0 states/eV per cell. As for the magnetic moment: 2.99 μB/cell. For the formation energy, the calculation gives -0.2504 eV/atom.



Record 6
VASP calculation (PBE) on crystalline Pr12Nd5In2 at its relaxed geometry.

abc: 15.868 9.485 8.807
angles: 90.00 93.91 90.00
Space group C2/m (No. 12)
Inequivalent atoms, fractional coordinates:
Pr: 0.056 0.000 0.325
Pr: 0.078 0.500 0.886
Pr: 0.126 0.195 0.672
Pr: 0.145 0.315 0.237
Nd: 0.000 0.500 0.500
Nd: 0.191 0.000 0.015
Nd: 0.232 0.500 0.580
In: 0.000 0.174 0.000

Output
The value obtained for the density of states at the Fermi level is 50.4 states/eV per cell. As for the magnetic moment: 0.00 μB/cell. For the formation energy, the calculation gives -0.0280 eV/atom.